(1)
This record from Alexandria describes crystalline KInSbI2 at its relaxed geometry. The functional is GGA-PBE.

Lattice parameters (Å, degrees): 6.3085 6.3085 5.7513 90.00 90.00 90.00
Last column: nearest neighbours and their distance in Å.
Fractional coordinates of all 5 atoms:
1 I 0.0000 0.5000 0.0000  2 In 3.15
2 Sb 0.0000 0.0000 0.5000  2 In 2.88
3 K 0.5000 0.5000 0.5000  8 I 4.27, 4 Sb 4.46
4 I 0.5000 0.0000 0.0000  2 In 3.15
5 In 0.0000 0.0000 0.0000  2 Sb 2.88, 4 I 3.15

Results
- ρ: 3.84 Mg/m³
- Polymorph energy (0 for the lowest one): 0.00 kJ/mol of atoms
- Space group: P4/mmm
- Formation energy from raw total energies: -0.352 eV per atom

***

(2)
This record from Alexandria describes crystalline MgAl2AgAu4 at its relaxed geometry. The functional is GGA-PBE.

Lattice parameters (Å, degrees): 4.5767 4.5767 8.0192 73.42 73.42 60.00
Last column: nearest neighbours and their distance in Å.
Fractional coordinates of all 8 atoms:
1 Al 0.2524 0.2524 0.2427  8 Au 2.75-2.90
2 Al 0.7476 0.7476 0.7573  8 Au 2.75-2.90
3 Mg 0.5000 0.5000 0.5000  8 Au 2.72-2.78
4 Ag 0.0000 0.0000 0.0000  8 Au 2.85-2.92
5 Au 0.8716 0.8716 0.3852  3 Mg 2.78, 4 Al 2.82-2.85, 1 Ag 2.92
6 Au 0.3801 0.3801 0.8598  1 Mg 2.72, 4 Al 2.75-2.90, 3 Ag 2.85
7 Au 0.6199 0.6199 0.1402  1 Mg 2.72, 4 Al 2.75-2.90, 3 Ag 2.85
8 Au 0.1284 0.1284 0.6148  3 Mg 2.78, 4 Al 2.82-2.85, 1 Ag 2.92

Results
- ρ: 11.78 Mg/m³
- Space group: R-3m
- Formation energy from the elements: -0.3401 eV/atom

***

(3)
This record from Alexandria describes crystalline HoSnCl at its relaxed geometry. The functional is GGA-PBE.

Lattice parameters (Å, degrees): 4.3255 4.9060 9.4636 103.40 117.21 89.98
Last column: nearest neighbours and their distance in Å.
Fractional coordinates of all 6 atoms:
1 Cl 0.3161 0.2873 0.0660  3 Ho 2.78-2.79
2 Ho 0.9875 0.5864 0.2373  3 Cl 2.78-2.79
3 Sn 0.2277 0.1963 0.4778  2 Sn 2.98, 4 Ho 3.13-3.20
4 Sn 0.7723 0.8037 0.5222  2 Sn 2.98, 4 Ho 3.13-3.20
5 Cl 0.6839 0.7127 0.9340  3 Ho 2.78-2.79
6 Ho 0.0125 0.4136 0.7627  3 Cl 2.78-2.79

Results
- ρ: 6.15 Mg/m³
- Space group: P2_1/m
- Formation energy from raw total energies: -1.151 eV per atom

***

(4)
This record from Alexandria describes crystalline Zr2ScTe at its relaxed geometry. The functional is GGA-PBE.

Lattice parameters (Å, degrees): 5.6886 5.6886 5.6886 135.21 135.21 65.20
Last column: nearest neighbours and their distance in Å.
Fractional coordinates of all 4 atoms:
1 Te 0.7500 0.2500 0.5000  8 Zr 3.06-3.23, 4 Sc 3.23
2 Zr 0.0000 0.0000 0.0000  4 Sc 3.06, 4 Te 3.23, 4 Zr 3.23
3 Zr 0.2500 0.7500 0.5000  4 Te 3.06, 4 Zr 3.23, 4 Sc 3.23
4 Sc 0.5000 0.5000 0.0000  8 Zr 3.06-3.23, 4 Te 3.23

Results
- ρ: 6.55 Mg/m³
- Space group: I-4m2
- Formation energy from raw total energies: -0.310 eV per atom

***

(5)
This record from Alexandria describes crystalline ScTa2Cl at its relaxed geometry. The functional is GGA-PBE.

Lattice parameters (Å, degrees): 4.7340 4.7340 4.7340 60.00 60.00 60.00
Last column: nearest neighbours and their distance in Å.
Fractional coordinates of all 4 atoms:
1 Cl 0.5000 0.5000 0.5000  4 Sc 2.90, 4 Ta 2.90
2 Ta 0.0000 0.0000 0.0000  4 Ta 2.90, 4 Sc 2.90
3 Ta 0.7500 0.7500 0.7500  4 Ta 2.90, 4 Cl 2.90
4 Sc 0.2500 0.2500 0.2500  4 Ta 2.90, 4 Cl 2.90

Results
- ρ: 9.79 Mg/m³
- Polymorph energy (0 for the lowest one): 70.84 kJ/mol of atoms
- Space group: F-43m
- Formation energy from raw total energies: 0.538 eV per atom

***

(6)
This record from Alexandria describes crystalline RbTlBi2As at its relaxed geometry. The functional is GGA-PBE.

Lattice parameters (Å, degrees): 5.8556 6.3025 5.8556 90.00 90.00 90.00
Last column: nearest neighbours and their distance in Å.
Fractional coordinates of all 5 atoms:
1 As 0.5000 0.5000 0.5000  4 Rb 4.14, 8 Bi 4.30
2 Bi 0.5000 0.0000 0.0000  2 Tl 2.93
3 Bi 0.0000 0.0000 0.5000  2 Tl 2.93
4 Rb 0.0000 0.5000 0.0000  2 Tl 3.15
5 Tl 0.0000 0.0000 0.0000  4 Bi 2.93, 2 Rb 3.15

Results
- ρ: 6.01 Mg/m³
- Space group: P4/mmm
- Formation energy from the elements: 0.7348 eV/atom

***

> Which value of ρ does entry 1 give?

3.84 Mg/m³

***

> Look up the ρ of the first one.

3.84 Mg/m³

***

> The highest ρ belongs to which entry?

MgAl2AgAu4

***

> Among the records above, which one has the highest ρ?

MgAl2AgAu4